DFT (PBE) results for Pr2Sm4Tl3H2 after structural relaxation.

POSCAR file:
```
Pr2Sm4Tl3H2
1.0
4.880 0.000 0.000
0.000 4.880 0.000
-2.440 -2.440 12.606
Pr Sm Tl H
2 4 3 2
Cartesian
0.000 0.000 7.607
2.440 2.440 4.999
0.000 2.440 10.503
2.440 0.000 10.503
0.000 2.440 2.103
2.440 0.000 2.103
0.000 0.000 0.000
0.000 0.000 4.333
2.440 2.440 8.274
0.000 0.000 10.069
2.440 2.440 2.537
```

symmetry	No. 139
DFT total energy	-4.1456	eV per atom